VASP calculation (PBE) on crystalline Sm2Ho2Pb2C at its relaxed geometry.

Properties
energy of formation from the pure elements = -585 meV per atom
V = 27.38 A^3/atom
E_tot = -5.6188 eV/atom

```
7
Lattice="-2.5344 0.0288 4.1113 3.6978 -2.0952 2.2942 2.4758 8.4361 -1.3698" Properties=species:S:1:pos:R:3 pbc="T T T"
Sm 0.9695 2.3474 0.5812
Sm 2.6696 4.0223 4.4544
Ho 1.8489 -1.0476 1.1471
Ho -1.2672 0.0144 2.0556
Pb 2.2049 5.3386 1.3218
Pb 1.4342 1.0311 3.7138
C 0.0000 0.0000 0.0000
```

VASP calculation (PBE) on crystalline Y2Ga2Ru2C at its relaxed geometry.

Properties
energy of formation from the pure elements = -568 meV per atom
V = 18.01 A^3/atom
E_tot = -7.2472 eV/atom

```
7
Lattice="4.0763 0.0000 0.0000 2.0382 5.5299 -0.4199 2.0382 1.6299 5.4682" Properties=species:S:1:pos:R:3 pbc="T T T"
Y 4.0763 2.0736 3.8138
Y 4.0763 5.0862 1.2345
Ga 2.0382 2.6661 1.5292
Ga 6.1145 4.4936 3.5191
Ru 4.0763 5.3250 4.6727
Ru 4.0763 1.8348 0.3756
C 0.0000 0.0000 0.0000
```